Entry 1:
{"formula": "Tc2HRhW", "functional": "PBE-GGA", "state": "optimized geometry", "de_polymorph_mev_per_atom": 0, "dos_at_fermi_per_ev_fu": 3.79, "space_group": "No. 123", "cell": [[-3.518, -0.491, -1.749], [-0.593, -3.293, 2.116], [-1.690, 2.108, 2.807]], "species": ["H", "Rh", "Tc", "Tc", "W"], "fractional_positions": [[0.000, 0.000, 0.000], [0.000, 0.000, 0.500], [0.000, 0.500, 0.000], [0.500, 0.000, 0.000], [0.500, 0.500, 0.500]]}


Entry 2:
{"formula": "KMgBr", "functional": "PBE-GGA", "state": "optimized geometry", "raw_formation_energy_ev_per_fu": -1.7, "de_polymorph_mev_per_atom": 124, "space_group": "No. 216", "cell": [[5.759, 0.000, 0.000], [2.880, 4.988, 0.000], [2.880, 1.663, 4.702]], "species": ["Br", "K", "Mg"], "fractional_positions": [[0.750, 0.750, 0.750], [0.000, 0.000, 0.000], [0.500, 0.500, 0.500]]}


Entry 3:
{"formula": "CrOs2Pt", "functional": "PBE-GGA", "state": "optimized geometry", "e_form_ev_per_atom": 0.4689, "dos_at_fermi_per_ev_fu": 4.62, "space_group": "No. 225", "cell": [[-0.055, -3.654, 2.315], [-1.866, -0.060, 3.902], [-3.718, -2.133, 0.588]], "species": ["Cr", "Os", "Os", "Pt"], "fractional_positions": [[0.000, 0.000, 0.000], [0.250, 0.250, 0.250], [0.750, 0.750, 0.750], [0.500, 0.500, 0.500]]}


Entry 4:
{"formula": "Ca2AlSn", "functional": "PBE-GGA", "state": "optimized geometry", "e_form_ev_per_atom": -0.0205, "dos_at_fermi_per_ev_fu": 3.33, "space_group": "No. 122", "cell": [[-2.543, -7.859, 1.682], [2.320, -2.407, -7.739], [2.979, -5.885, -1.868]], "species": ["Ca", "Ca", "Ca", "Ca", "Sn", "Sn", "Al", "Al"], "fractional_positions": [[0.620, 0.125, 0.250], [0.130, 0.625, 0.250], [0.375, 0.380, 0.750], [0.875, 0.870, 0.750], [0.000, 0.000, 0.000], [0.750, 0.250, 0.500], [0.500, 0.500, 0.000], [0.250, 0.750, 0.500]]}


Entry 5:
{"formula": "NbRe2Ir", "functional": "PBE-GGA", "state": "optimized geometry", "de_polymorph_mev_per_atom": 0, "e_form_ev_per_atom": -0.1617, "dos_at_fermi_per_ev_fu": 3.66, "space_group": "No. 123", "cell": [[-1.845, -2.762, 2.228], [3.084, -0.080, 2.454], [-1.650, 2.850, 2.166]], "species": ["Re", "Re", "Nb", "Ir"], "fractional_positions": [[0.000, 0.000, 0.500], [0.000, 0.500, 0.000], [0.500, 0.000, 0.000], [0.500, 0.500, 0.500]]}


Entry 6:
{"formula": "Ce8PuSn2", "functional": "PBE-GGA", "state": "optimized geometry", "e_form_ev_per_atom": -0.2166, "dos_at_fermi_per_ev_fu": 29.66, "space_group": "No. 12", "cell": [[5.257, 0.000, -1.589], [-0.736, 6.306, -2.433], [-0.148, -0.201, 9.000]], "species": ["Ce", "Ce", "Ce", "Ce", "Ce", "Ce", "Ce", "Ce", "Pu", "Sn", "Sn"], "fractional_positions": [[0.614, 0.382, 0.229], [0.385, 0.151, 0.770], [0.189, 0.189, 0.378], [0.000, 0.704, 0.000], [0.811, 0.811, 0.622], [0.615, 0.849, 0.230], [0.386, 0.618, 0.771], [0.000, 0.296, 0.000], [0.500, 0.000, 0.000], [0.195, 0.695, 0.390], [0.805, 0.305, 0.610]]}